1.
# GGA-PBE Cs2NaPrF6, optimized geometry
# Total DFT energy (no corrections) (eV/atom): -5.177
# ΔE_f (raw) (meV per atom): -3274
# M_tot (μB per formula unit): 0.00
data_Cs2NaPrF6
_cell_length_a 9.3642
_cell_length_b 9.3642
_cell_length_c 9.3642
_cell_angle_alpha 90.00
_cell_angle_beta 90.00
_cell_angle_gamma 90.00
_space_group_name_H-M_alt 'F m -3 m'
_space_group_IT_number 225
_space_group_name_Hall '-F 4 2 3'
loop_
_atom_site_label
_atom_site_fract_x
_atom_site_fract_y
_atom_site_fract_z
Cs1 0.2500 0.2500 0.2500
Na1 0.0000 0.0000 0.0000
Pr1 0.0000 0.0000 0.5000
F1 0.0000 0.0000 0.2534


2.
# GGA-PBE FeCu3Si, optimized geometry
# Total DFT energy (no corrections) (eV/atom): -4.063
# ΔE_f (raw) (meV per atom): 1172
# E above lowest polymorph (meV/atom): 427
# M_tot (μB per formula unit): 2.79
data_FeCu3Si
_cell_length_a 4.4298
_cell_length_b 4.4298
_cell_length_c 4.4298
_cell_angle_alpha 90.00
_cell_angle_beta 90.00
_cell_angle_gamma 90.00
_space_group_name_H-M_alt 'P m -3 m'
_space_group_IT_number 221
_space_group_name_Hall '-P 4 2 3'
loop_
_atom_site_label
_atom_site_fract_x
_atom_site_fract_y
_atom_site_fract_z
Fe1 0.0000 0.0000 0.0000
Cu1 0.0000 0.0000 0.5000
Si1 0.5000 0.5000 0.5000


3.
# GGA-PBE LaHoC, optimized geometry
# Total DFT energy (no corrections) (eV/atom): -6.429
# DFT formation energy (eV per formula unit): -0.557
# E above lowest polymorph (meV/atom): 0
# M_tot (μB per formula unit): 0.25
data_LaHoC
_cell_length_a 3.6418
_cell_length_b 5.0685
_cell_length_c 8.2393
_cell_angle_alpha 90.00
_cell_angle_beta 90.00
_cell_angle_gamma 90.00
_space_group_name_H-M_alt 'P m m n'
_space_group_IT_number 59
loop_
_space_group_symop_operation_xyz
'x,y,z'
'-x,-y,-z'
'-x+1/2,-y+1/2,z'
'x+1/2,y+1/2,-z'
'x+1/2,-y,-z'
'-x+1/2,y,z'
'-x,y+1/2,-z'
'x,-y+1/2,z'
loop_
_atom_site_label
_atom_site_fract_x
_atom_site_fract_y
_atom_site_fract_z
La1 0.2500 0.2500 0.1710
Ho1 0.2500 0.2500 0.5883
C1 0.2500 0.7500 0.6179


4.
# GGA-PBE Cd3PbO, optimized geometry
# Total DFT energy (no corrections) (eV/atom): -2.413
# ΔE_f (raw) (meV per atom): -130
# E above lowest polymorph (meV/atom): 0
# M_tot (μB per formula unit): 0.00
data_Cd3PbO
_cell_length_a 4.7764
_cell_length_b 4.7764
_cell_length_c 4.7764
_cell_angle_alpha 90.00
_cell_angle_beta 90.00
_cell_angle_gamma 90.00
_space_group_name_H-M_alt 'P m -3 m'
_space_group_IT_number 221
_space_group_name_Hall '-P 4 2 3'
loop_
_atom_site_label
_atom_site_fract_x
_atom_site_fract_y
_atom_site_fract_z
Cd1 0.0000 0.0000 0.5000
Pb1 0.5000 0.5000 0.5000
O1 0.0000 0.0000 0.0000


5.
# GGA-PBE MgVCu, optimized geometry
# Total DFT energy (no corrections) (eV/atom): -4.789
# DFT formation energy (eV per formula unit): 0.442
# E above lowest polymorph (meV/atom): 37
# M_tot (μB per formula unit): 0.00
data_MgVCu
_cell_length_a 10.5231
_cell_length_b 3.0089
_cell_length_c 5.9166
_cell_angle_alpha 90.00
_cell_angle_beta 103.53
_cell_angle_gamma 90.00
_space_group_name_H-M_alt 'C 1 2/m 1'
_space_group_IT_number 12
_space_group_name_Hall '-C 2y'
loop_
_atom_site_label
_atom_site_fract_x
_atom_site_fract_y
_atom_site_fract_z
Mg1 0.0048 0.0000 0.2500
V1 0.1951 0.5000 0.5918
Cu1 0.1749 0.5000 0.0755


6.
# GGA-PBE BC3, optimized geometry
# Total DFT energy (no corrections) (eV/atom): -8.295
# DFT formation energy (eV per formula unit): 1.168
# E above lowest polymorph (meV/atom): 51
# M_tot (μB per formula unit): 0.00
data_BC3
_cell_length_a 5.2397
_cell_length_b 7.6395
_cell_length_c 2.4895
_cell_angle_alpha 90.00
_cell_angle_beta 90.00
_cell_angle_gamma 90.00
_space_group_name_H-M_alt 'C m c m'
_space_group_IT_number 63
_space_group_name_Hall '-C 2c 2'
loop_
_atom_site_label
_atom_site_fract_x
_atom_site_fract_y
_atom_site_fract_z
B1 0.0000 0.1777 0.2500
C1 0.0000 0.3308 0.7500
C2 0.2418 0.4394 0.7500


7.
# GGA-PBE Li2POs, optimized geometry
# Total DFT energy (no corrections) (eV/atom): -5.105
# DFT formation energy (eV per formula unit): 0.047
# M_tot (μB per formula unit): 0.00
data_Li2POs
_cell_length_a 3.1808
_cell_length_b 4.0322
_cell_length_c 8.3870
_cell_angle_alpha 90.00
_cell_angle_beta 90.00
_cell_angle_gamma 90.00
_space_group_name_H-M_alt 'C m m m'
_space_group_IT_number 65
_space_group_name_Hall '-C 2 2'
loop_
_atom_site_label
_atom_site_fract_x
_atom_site_fract_y
_atom_site_fract_z
Li1 0.0000 0.0000 0.2326
P1 0.0000 0.5000 0.0000
Os1 0.0000 0.5000 0.5000


8.
# GGA-PBE Zr12Hg3Pd, optimized geometry
# Total DFT energy (no corrections) (eV/atom): -6.935
# DFT formation energy (eV per formula unit): -2.284
# M_tot (μB per formula unit): 0.00
data_Zr12Hg3Pd
_cell_length_a 4.4344
_cell_length_b 4.4344
_cell_length_c 17.6197
_cell_angle_alpha 90.00
_cell_angle_beta 90.00
_cell_angle_gamma 90.00
_space_group_name_H-M_alt 'P 4/m m m'
_space_group_IT_number 123
_space_group_name_Hall '-P 4 2'
loop_
_atom_site_label
_atom_site_fract_x
_atom_site_fract_y
_atom_site_fract_z
Zr1 0.0000 0.0000 0.0000
Zr2 0.0000 0.0000 0.2454
Zr3 0.0000 0.0000 0.5000
Zr4 0.0000 0.5000 0.1200
Zr5 0.0000 0.5000 0.3737
Hg1 0.5000 0.5000 0.2473
Hg2 0.5000 0.5000 0.5000
Pd1 0.5000 0.5000 0.0000


9.
# GGA-PBE TcRu2Cl, optimized geometry
# Total DFT energy (no corrections) (eV/atom): -7.112
# ΔE_f (raw) (meV per atom): 579
# E above lowest polymorph (meV/atom): 254
# M_tot (μB per formula unit): 0.00
data_TcRu2Cl
_cell_length_a 9.6343
_cell_length_b 2.8214
_cell_length_c 4.3280
_cell_angle_alpha 90.00
_cell_angle_beta 90.16
_cell_angle_gamma 90.00
_space_group_name_H-M_alt 'C 1 2/m 1'
_space_group_IT_number 12
_space_group_name_Hall '-C 2y'
loop_
_atom_site_label
_atom_site_fract_x
_atom_site_fract_y
_atom_site_fract_z
Tc1 0.0000 0.0000 0.0000
Ru1 0.2190 0.5000 0.7635
Cl1 0.0000 0.5000 0.5000


10.
# GGA-PBE Zn2HgPt, optimized geometry
# Total DFT energy (no corrections) (eV/atom): -2.413
# DFT formation energy (eV per formula unit): -0.761
# M_tot (μB per formula unit): 0.00
data_Zn2HgPt
_cell_length_a 2.9067
_cell_length_b 3.5075
_cell_length_c 6.6889
_cell_angle_alpha 90.00
_cell_angle_beta 90.26
_cell_angle_gamma 90.00
_space_group_name_H-M_alt 'P 1 2/m 1'
_space_group_IT_number 10
_space_group_name_Hall '-P 2y'
loop_
_atom_site_label
_atom_site_fract_x
_atom_site_fract_y
_atom_site_fract_z
Zn1 0.0000 0.0000 0.2093
Hg1 0.5000 0.5000 0.5000
Pt1 0.5000 0.5000 0.0000


11.
# GGA-PBE Li2ZrHg, optimized geometry
# Total DFT energy (no corrections) (eV/atom): -3.179
# DFT formation energy (eV per formula unit): -0.036
# M_tot (μB per formula unit): 0.00
data_Li2ZrHg
_cell_length_a 2.8612
_cell_length_b 4.9610
_cell_length_c 5.5902
_cell_angle_alpha 90.00
_cell_angle_beta 92.71
_cell_angle_gamma 90.00
_space_group_name_H-M_alt 'P 1 2/m 1'
_space_group_IT_number 10
_space_group_name_Hall '-P 2y'
loop_
_atom_site_label
_atom_site_fract_x
_atom_site_fract_y
_atom_site_fract_z
Li1 0.1169 0.0000 0.2535
Zr1 0.5000 0.5000 0.0000
Hg1 0.0000 0.5000 0.5000


12.
# GGA-PBE MnAlCl2, optimized geometry
# Total DFT energy (no corrections) (eV/atom): -4.280
# ΔE_f (raw) (meV per atom): -128
# E above lowest polymorph (meV/atom): 506
# M_tot (μB per formula unit): 4.27
data_MnAlCl2
_cell_length_a 6.4758
_cell_length_b 8.4571
_cell_length_c 3.3133
_cell_angle_alpha 90.00
_cell_angle_beta 118.32
_cell_angle_gamma 90.00
_space_group_name_H-M_alt 'C 1 2/m 1'
_space_group_IT_number 12
_space_group_name_Hall '-C 2y'
loop_
_atom_site_label
_atom_site_fract_x
_atom_site_fract_y
_atom_site_fract_z
Mn1 0.0000 0.0000 0.0000
Al1 0.0000 0.5000 0.0000
Cl1 0.2500 0.2500 0.0000


13.
# GGA-PBE Ac2HoMg, optimized geometry
# Total DFT energy (no corrections) (eV/atom): -3.504
# DFT formation energy (eV per formula unit): 0.374
# E above lowest polymorph (meV/atom): 89
# M_tot (μB per formula unit): 0.00
data_Ac2HoMg
_cell_length_a 3.8221
_cell_length_b 3.8221
_cell_length_c 35.3689
_cell_angle_alpha 90.00
_cell_angle_beta 90.00
_cell_angle_gamma 120.00
_space_group_name_H-M_alt 'R 3 m'
_space_group_IT_number 160
_space_group_name_Hall 'R 3 -2"'
loop_
_atom_site_label
_atom_site_fract_x
_atom_site_fract_y
_atom_site_fract_z
Ac1 0.0000 0.0000 0.0000
Ac2 0.0000 0.0000 0.1693
Ho1 0.0000 0.0000 0.4177
Mg1 0.0000 0.0000 0.5849